No. 1
K2AlCu, relaxed, DFT PBEsol; SG = Imm2 (44); calculated total energy = -18.87 eV per cell; mass density = 2.218 Mg/m³; formation enthalpy at 0 K = 0.3143 eV/atom
1.0
3.9184 0.0000 0.0000
0.0000 5.8718 0.0000
0.0000 0.0000 10.9819
K Al Cu
4 2 2
direct
0.0000 0.0000 0.0000
0.0000 0.5000 0.1884
0.5000 0.0000 0.6884
0.5000 0.5000 0.5000
0.0000 0.5000 0.7965
0.5000 0.0000 0.2965
0.0000 0.0000 0.4150
0.5000 0.5000 0.9150

=====

No. 2
Co2AsPb, relaxed, DFT PBEsol; relative energy among the computed polymorphs = 88 meV per atom; SG = P4mm (99); calculated total energy = -23.73 eV per cell; mass density = 9.980 Mg/m³; formation enthalpy at 0 K = 0.2122 eV/atom
1.0
3.0248 0.0000 0.0000
0.0000 3.0248 0.0000
0.0000 0.0000 7.2741
Co As Pb
2 1 1
direct
0.0000 0.0000 0.0000
0.5000 0.5000 0.1688
0.0000 0.0000 0.3357
0.5000 0.5000 0.7439

=====

No. 3
LiIrIN2, relaxed, DFT PBEsol; SG = P4/mmm (123); calculated total energy = -20.31 eV per cell; mass density = 8.451 Mg/m³; raw formation energy = 2.060 eV per atom
1.0
3.7732 0.0000 0.0000
0.0000 3.7732 0.0000
0.0000 0.0000 4.8868
Li Ir I N
1 1 1 2
direct
0.0000 0.0000 0.0000
0.5000 0.5000 0.5000
0.0000 0.0000 0.5000
0.0000 0.5000 0.0000
0.5000 0.0000 0.0000

=====

No. 4
Fe2MoBr, relaxed, DFT PBEsol; relative energy among the computed polymorphs = 0 meV per atom; SG = Pmmm (47); calculated total energy = -28.43 eV per cell; mass density = 8.872 Mg/m³; raw formation energy = 0.784 eV per atom
1.0
2.8924 0.0000 0.0000
0.0000 4.2726 0.0000
0.0000 0.0000 4.3548
Fe Mo Br
2 1 1
direct
0.0000 0.0000 0.0000
0.5000 0.0000 0.5000
0.0000 0.5000 0.5000
0.5000 0.5000 0.0000